A relaxed Ba2AcMg crystal, computed with PBE-GGA.

Geometry as POSCAR:
```
Ba2AcMg
1.0
6.4078 0.0000 0.0000
3.2039 5.5493 0.0000
3.2039 1.8498 5.2319
Ba Mg Ac
2 1 1
Cartesian
3.2039 1.8498 1.3080
9.6117 5.5493 3.9239
0.0000 0.0000 0.0000
6.4078 3.6995 2.6160
```

Summary:
* formation energy from the elements: 61 kJ/mol of formula units
* ΔE to the lowest computed polymorph: 100 meV per atom
* DOS(E_F): 4.83 states/eV/cell
* V: 186 Å³ per cell
* E_tot: -8.92 eV/cell
* space group: Fm-3m (225)

=====

A relaxed BaAc2Mg crystal, computed with PBE-GGA.

Geometry as POSCAR:
```
BaAc2Mg
1.0
-3.3372 -0.7170 1.9250
-0.0704 -2.6615 2.8754
1.9392 8.3759 10.4707
Ac Mg Ba
2 1 1
Cartesian
1.0326 5.5743 7.8553
-2.5010 -0.5770 7.4157
-0.7342 2.4987 7.6355
0.0000 0.0000 0.0000
```

Summary:
* formation energy from the elements: 80 kJ/mol of formula units
* ΔE to the lowest computed polymorph: 193 meV per atom
* DOS(E_F): 5.83 states/eV/cell
* V: 178 Å³ per cell
* E_tot: -10.90 eV/cell
* space group: R-3m (166)